No. 1
TaFe2: relaxed, PBE.

Results
Energy of formation from the pure elements = 1.43 eV per atom
SG = P4_2/mnm, No. 136
Total moment = 2.970 μB/f.u.
V = 17.1 A^3/atom

Unit cell a=4.9762 b=4.9762 c=4.1492 alpha=90.00 beta=90.00 gamma=90.00
With the nearest neighbours (Å) after each atom.
Sites, in units of the cell vectors:
1 Fe 0.3291 0.3291 0.0000  3 Ta 2.32-2.40, 1 Fe 2.41
2 Fe 0.6709 0.6709 0.0000  3 Ta 2.32-2.40, 1 Fe 2.41
3 Fe 0.8291 0.1709 0.5000  3 Ta 2.32-2.40, 1 Fe 2.41
4 Fe 0.1709 0.8291 0.5000  3 Ta 2.32-2.40, 1 Fe 2.41
5 Ta 0.0000 0.0000 0.0000  6 Fe 2.32-2.40
6 Ta 0.5000 0.5000 0.5000  6 Fe 2.32-2.40

No. 2
Ta3Fe2: relaxed, PBE.

Results
Energy of formation from the pure elements = 0.28 eV per atom
SG = R-3c, No. 167
Total moment = 0.013 μB/f.u.
V = 15.9 A^3/atom

Unit cell a=5.6907 b=5.6907 c=6.5408 alpha=115.79 beta=64.21 gamma=120.00
With the nearest neighbours (Å) after each atom.
Sites, in units of the cell vectors:
1 Fe 0.3130 0.6870 0.0609  1 Fe 2.14
2 Fe 0.1870 0.8130 0.4391  1 Fe 2.14
3 Fe 0.8130 0.1870 0.5609  1 Fe 2.14
4 Fe 0.6870 0.3130 0.9391  1 Fe 2.14
5 Ta 0.2500 0.2264 0.2500  2 Fe 2.41
6 Ta 0.7736 0.2736 0.2500  2 Fe 2.41
7 Ta 0.7264 0.7500 0.2500  2 Fe 2.41
8 Ta 0.2736 0.2500 0.7500  2 Fe 2.41
9 Ta 0.2264 0.7264 0.7500  2 Fe 2.41
10 Ta 0.7500 0.7736 0.7500  2 Fe 2.41

No. 3
TaFeTc2: relaxed, PBE.

Results
Energy of formation from the pure elements = -0.02 eV per atom
SG = F-43m, No. 216
Total moment = 2.428 μB/f.u.
V = 14.7 A^3/atom

Unit cell a=4.3685 b=4.3685 c=4.3685 alpha=60.00 beta=60.00 gamma=60.00
With the nearest neighbours (Å) after each atom.
Sites, in units of the cell vectors:
1 Fe 0.2500 0.2500 0.2500  4 Ta 2.68, 4 Tc 2.68
2 Ta 0.5000 0.5000 0.5000  4 Fe 2.68, 4 Tc 2.68
3 Tc 0.0000 0.0000 0.0000  4 Tc 2.68, 4 Fe 2.68
4 Tc 0.7500 0.7500 0.7500  4 Tc 2.68, 4 Ta 2.68

- Which of these has the lowest V?
  TaFeTc2